(1)
Material: LiBe2TcN
Method: DFT, PBE-GGA
State: relaxed

Cell lengths 4.187, 4.187, 4.993 Å; angles 90.00, 90.00, 90.00 degrees
Atoms (fractional coordinates):
Li 0.000 0.000 0.000
Be 0.000 0.500 0.500
Be 0.500 0.000 0.500
Tc 0.000 0.000 0.500
N 0.500 0.500 0.000

Summary:
DOS at the Fermi energy   1.94 states/eV per cell
E_form (uncorrected)   2.08 eV per atom
Size of the total moment   3.116 μB/cell
Total DFT energy (no corrections)   -3.5334 eV/atom



(2)
Material: LiUBeN3
Method: DFT, PBE-GGA
State: relaxed

Cell lengths 6.317, 3.404, 7.241 Å; angles 90.00, 98.34, 90.00 degrees
Atoms (fractional coordinates):
Li 0.148 0.250 0.137
Li 0.852 0.750 0.863
U 0.334 0.750 0.821
U 0.666 0.250 0.179
Be 0.060 0.250 0.598
Be 0.940 0.750 0.402
N 0.118 0.250 0.839
N 0.169 0.750 0.551
N 0.436 0.750 0.129
N 0.564 0.250 0.871
N 0.831 0.250 0.449
N 0.882 0.750 0.161

Summary:
E_form (uncorrected)   -0.95 eV per atom
Size of the total moment   0.000 μB/cell
Total DFT energy (no corrections)   -7.9358 eV/atom



(3)
Material: LiZr2BeN
Method: DFT, PBE-GGA
State: relaxed

Cell lengths 4.435, 4.435, 3.765 Å; angles 90.00, 90.00, 90.00 degrees
Atoms (fractional coordinates):
Li 0.000 0.000 0.000
Zr 0.000 0.500 0.500
Zr 0.500 0.000 0.500
Be 0.500 0.500 0.000
N 0.000 0.000 0.500

Summary:
DOS at the Fermi energy   1.40 states/eV per cell
E_form (uncorrected)   -0.54 eV per atom
Size of the total moment   0.000 μB/cell
Total DFT energy (no corrections)   -6.7523 eV/atom



(4)
Material: NaLiBe2
Method: DFT, PBE-GGA
State: relaxed

Cell lengths 9.399, 9.399, 9.399 Å; angles 154.13, 154.13, 36.91 degrees
Atoms (fractional coordinates):
Na 0.375 0.625 0.750
Na 0.625 0.375 0.250
Li 0.125 0.875 0.250
Li 0.875 0.125 0.750
Be 0.000 0.000 0.000
Be 0.000 0.000 0.500
Be 0.000 0.500 0.000
Be 0.500 0.000 0.500

Summary:
DOS at the Fermi energy   2.51 states/eV per cell
Energy relative to the lowest polymorph listed for this composition   0 meV per atom
Size of the total moment   0.000 μB/cell
Total DFT energy (no corrections)   -1.9954 eV/atom



(5)
Material: Na2LiBe
Method: DFT, PBE-GGA
State: relaxed

Cell lengths 11.125, 11.125, 11.125 Å; angles 158.70, 158.70, 30.31 degrees
Atoms (fractional coordinates):
Na 0.116 0.625 0.991
Na 0.375 0.366 0.491
Na 0.634 0.125 0.009
Na 0.875 0.884 0.509
Li 0.250 0.750 0.500
Li 0.500 0.500 0.000
Be 0.000 0.000 0.000
Be 0.750 0.250 0.500

Summary:
DOS at the Fermi energy   2.89 states/eV per cell
Size of the total moment   0.000 μB/cell
Total DFT energy (no corrections)   -1.4775 eV/atom



(6)
Material: NaLiBe3
Method: DFT, PBE-GGA
State: relaxed

Cell lengths 4.610, 4.610, 4.610 Å; angles 90.00, 90.00, 90.00 degrees
Atoms (fractional coordinates):
Na 0.000 0.000 0.000
Li 0.500 0.500 0.500
Be 0.000 0.000 0.500
Be 0.000 0.500 0.000
Be 0.500 0.000 0.000

Summary:
DOS at the Fermi energy   2.10 states/eV per cell
Energy relative to the lowest polymorph listed for this composition   630 meV per atom
Size of the total moment   0.000 μB/cell
Total DFT energy (no corrections)   -1.2502 eV/atom



(7)
Material: NaLiBe3
Method: DFT, PBE-GGA
State: relaxed

Cell lengths 4.190, 4.190, 4.190 Å; angles 90.00, 90.00, 90.00 degrees
Atoms (fractional coordinates):
Na 0.000 0.000 0.000
Li 0.500 0.500 0.500
Be 0.000 0.500 0.500
Be 0.500 0.000 0.500
Be 0.500 0.500 0.000

Summary:
DOS at the Fermi energy   1.68 states/eV per cell
Energy relative to the lowest polymorph listed for this composition   0 meV per atom
Size of the total moment   0.000 μB/cell
Total DFT energy (no corrections)   -1.8800 eV/atom



(8)
Material: NaLiBe2
Method: DFT, PBE-GGA
State: relaxed

Cell lengths 4.420, 4.420, 4.420 Å; angles 60.00, 60.00, 60.00 degrees
Atoms (fractional coordinates):
Na 0.000 0.000 0.000
Li 0.500 0.500 0.500
Be 0.250 0.250 0.250
Be 0.750 0.750 0.750

Summary:
DOS at the Fermi energy   1.71 states/eV per cell
Energy relative to the lowest polymorph listed for this composition   92 meV per atom
Size of the total moment   0.000 μB/cell
Total DFT energy (no corrections)   -1.9034 eV/atom



(9)
Material: NaLi2Be
Method: DFT, PBE-GGA
State: relaxed

Cell lengths 10.167, 10.167, 10.167 Å; angles 157.15, 157.15, 32.53 degrees
Atoms (fractional coordinates):
Na 0.000 0.000 0.000
Na 0.750 0.250 0.500
Li 0.162 0.625 0.037
Li 0.375 0.412 0.537
Li 0.588 0.125 0.963
Li 0.875 0.838 0.463
Be 0.250 0.750 0.500
Be 0.500 0.500 0.000

Summary:
DOS at the Fermi energy   3.34 states/eV per cell
Size of the total moment   0.000 μB/cell
Total DFT energy (no corrections)   -1.7015 eV/atom



(10)
Material: Na2LiBeP2
Method: DFT, PBE-GGA
State: relaxed

Cell lengths 7.762, 7.762, 7.762 Å; angles 137.49, 61.04, 138.33 degrees
Atoms (fractional coordinates):
Na 0.176 0.233 0.409
Na 0.324 0.733 0.057
Na 0.676 0.267 0.943
Na 0.824 0.767 0.591
Li 0.250 0.250 0.000
Li 0.750 0.750 0.000
Be 0.250 0.750 0.500
Be 0.750 0.250 0.500
P 0.098 0.716 0.815
P 0.402 0.216 0.618
P 0.598 0.784 0.382
P 0.902 0.284 0.185

Summary:
DOS at the Fermi energy   8.11 states/eV per cell
Size of the total moment   0.002 μB/cell
Total DFT energy (no corrections)   -3.5761 eV/atom



(11)
Material: NaLiBePd2
Method: DFT, PBE-GGA
State: relaxed

Cell lengths 4.362, 4.362, 4.226 Å; angles 90.00, 90.00, 90.00 degrees
Atoms (fractional coordinates):
Na 0.000 0.000 0.000
Li 0.500 0.500 0.500
Be 0.500 0.500 0.000
Pd 0.000 0.500 0.500
Pd 0.500 0.000 0.500

Summary:
DOS at the Fermi energy   1.18 states/eV per cell
Size of the total moment   0.000 μB/cell
Total DFT energy (no corrections)   -3.1073 eV/atom



(12)
Material: Na2LiBeS
Method: DFT, PBE-GGA
State: relaxed

Cell lengths 5.104, 5.104, 4.425 Å; angles 90.00, 90.00, 90.00 degrees
Atoms (fractional coordinates):
Na 0.000 0.500 0.000
Na 0.500 0.000 0.000
Li 0.000 0.000 0.000
Be 0.000 0.000 0.500
S 0.500 0.500 0.500

Summary:
DOS at the Fermi energy   1.43 states/eV per cell
E_form (uncorrected)   0.49 eV per atom
Size of the total moment   0.000 μB/cell
Total DFT energy (no corrections)   -1.9902 eV/atom



Look up the size of the total moment of the seventh one. 0.000 μB/cell